# 1
# TlICl3

A relaxed structure of TlICl3 (GGA-PBE, Alexandria via LeMat-Bulk).

Cell and atoms, written as extended XYZ:
```
5
Lattice="5.6392 0.0000 0.0000 0.0000 5.6392 0.0000 0.0000 0.0000 5.6392" Properties=species:S:1:pos:R:3 pbc="T T T"
Cl 2.8196 0.0000 0.0000
Cl 0.0000 2.8196 0.0000
Cl 0.0000 0.0000 2.8196
I 0.0000 0.0000 0.0000
Tl 2.8196 2.8196 2.8196
```

Calculated total energy = -2.218 eV per atom
M_tot = 0.000 μB per atom
E_form (uncorrected) = -0.33 eV/atom

=====

# 2
# Bi2Cl5

A relaxed structure of Bi2Cl5 (GGA-PBE, Alexandria via LeMat-Bulk).

Cell and atoms, written as extended XYZ:
```
14
Lattice="-1.2907 1.0000 6.1409 -0.3171 -7.3619 1.1322 9.0885 0.5248 -1.4627" Properties=species:S:1:pos:R:3 pbc="T T T"
Cl 2.7002 -5.2237 4.2066
Cl -0.7756 -5.1048 3.4077
Cl 4.7805 -0.6134 1.6037
Cl -0.8322 -1.2571 3.8654
Cl 2.6628 -1.3910 4.5727
Cl 6.0601 0.7483 5.0012
Cl 1.4205 -6.5854 0.8090
Cl 1.3585 -2.7336 1.2926
Cl 4.8179 -4.4462 1.2376
Cl 6.1222 -3.1036 4.5177
Bi 1.5678 0.1632 2.1913
Bi 6.6207 -2.7450 0.4394
Bi 0.8600 -3.0921 5.3709
Bi 5.9128 -6.0004 3.6190
```

Calculated total energy = -3.209 eV per atom
M_tot = 0.000 μB per atom
E_form (uncorrected) = -0.78 eV/atom

=====

# 3
# Ac5Pr4Ho4

A relaxed structure of Ac5Pr4Ho4 (GGA-PBE, Alexandria via LeMat-Bulk).

Cell and atoms, written as extended XYZ:
```
13
Lattice="0.7047 4.8278 2.0776 -6.0943 0.4013 7.9022 7.3893 -1.0238 6.6405" Properties=species:S:1:pos:R:3 pbc="T T T"
Ho 3.2698 0.4350 11.4154
Ho -1.2701 3.7703 5.2048
Ho 4.1279 0.1654 4.9831
Ho -2.1283 4.0398 11.6371
Ac 0.9827 2.9220 13.1794
Ac 0.0000 0.0000 0.0000
Ac 1.0170 1.2832 3.4408
Ac -3.1122 2.7564 8.1856
Ac 5.1118 1.4488 8.4346
Pr 1.9515 2.6200 6.7850
Pr 2.9433 3.9410 10.1466
Pr -0.9436 0.2642 6.4736
Pr 0.0481 1.5852 9.8352
```

Calculated total energy = -4.407 eV per atom
E_form = 52 meV/atom
M_tot = 0.000 μB per atom

=====

# 4
# VMoIr2C

A relaxed structure of VMoIr2C (GGA-PBE, Alexandria via LeMat-Bulk).

Cell and atoms, written as extended XYZ:
```
5
Lattice="-0.6746 3.2602 -2.2510 -1.3782 -2.4326 -3.1102 -3.7339 0.2401 1.4668" Properties=species:S:1:pos:R:3 pbc="T T T"
Ir -1.8669 0.1201 0.7334
Ir -0.3373 1.6301 -1.1255
V -2.8934 0.5338 -1.9472
Mo -0.6891 -1.2163 -1.5551
C 0.0000 0.0000 0.0000
```

Calculated total energy = -9.230 eV per atom
E_form = 149 meV/atom
M_tot = 0.000 μB per atom

=====

# 5
# Er3Sn5Se12

A relaxed structure of Er3Sn5Se12 (GGA-PBE, Alexandria via LeMat-Bulk).

Cell and atoms, written as extended XYZ:
```
80
Lattice="14.4349 0.0000 0.0000 -4.8116 13.6094 0.0000 -4.8116 -6.8047 11.7861" Properties=species:S:1:pos:R:3 pbc="T T T"
Se 7.2906 12.0606 0.6191
Se 0.0731 4.7129 4.8613
Se 9.6964 -3.1641 7.5438
Se -5.2043 -0.0123 9.7439
Se 5.2043 1.7624 10.7544
Se 8.6211 -4.6848 10.1353
Se 7.2906 3.6406 4.2422
Se 5.2043 -1.7747 10.7756
Se -0.6826 0.8216 2.6613
Se -0.3927 8.5794 1.0105
Se 0.6826 8.3131 7.9352
Se 4.1290 -1.5084 3.8509
Se 2.0131 -1.7625 10.7544
Se 1.7232 5.2963 7.9352
Se 10.6255 3.0327 3.2318
Se 3.0884 1.5084 3.8509
Se 7.9001 -0.8216 2.6613
Se -2.4789 -5.2559 11.1670
Se 6.2153 10.5767 3.2318
Se -4.7385 5.2559 11.1670
Se 8.9407 0.6868 5.2739
Se 2.3327 8.8965 4.8613
Se -5.8138 3.7720 8.5543
Se -0.3927 5.0422 1.0317
Se 2.7985 5.0300 1.0105
Se -1.4037 4.6848 10.1353
Se -3.8095 11.4895 1.6508
Se 3.4080 5.8919 4.8826
Se 2.7985 8.5671 1.0317
Se -2.4789 3.1641 7.5438
Se -4.8848 9.9688 4.2422
Se 4.7385 2.0918 6.9247
Se 6.8248 6.7924 2.0422
Se -4.1290 6.1179 6.5121
Se -3.0884 7.6263 9.1248
Se -1.4037 -3.7721 8.5543
Se -1.0022 7.7174 4.8826
Se 10.0160 6.8169 2.0422
Se 2.0131 1.7747 10.7756
Se -1.7232 -0.6868 5.2739
Se 5.8138 -0.9128 6.9035
Se 9.5502 1.5487 0.6191
Se 5.4943 5.9831 9.1248
Se -2.0132 0.0123 9.7439
Se 1.4037 0.9128 6.9035
Se 6.5349 7.4915 6.5121
Se 6.2153 2.1199 1.6508
Se 2.4789 -2.0918 6.9247
Sn 0.0000 0.0000 0.0000
Sn 6.0146 3.4023 8.8396
Sn -2.4058 -3.4023 5.8930
Sn 7.2175 0.0000 0.0000
Sn -1.2029 0.8506 7.3663
Sn -2.4058 6.8047 0.0000
Sn 2.4058 3.4023 5.8930
Sn 3.6087 2.5518 1.4733
Sn 6.0146 5.9541 4.4198
Sn 1.2029 4.2529 10.3128
Sn 6.0146 -4.2529 10.3128
Sn -4.8116 3.4023 5.8930
Sn -1.2029 11.0576 1.4733
Sn 1.2029 -3.4023 8.8396
Sn 8.4204 -0.8506 7.3663
Sn 4.8116 -3.4023 5.8930
Sn 4.8116 6.8047 0.0000
Sn 3.6087 10.2070 2.9465
Sn -3.6087 7.6553 4.4198
Sn -1.2029 3.4023 2.9465
Er 10.8262 0.0000 2.9465
Er 6.0146 0.8506 4.4198
Er -6.0146 6.8047 8.8396
Er -3.6087 -2.5518 10.3128
Er -3.6087 2.5518 10.3128
Er 8.4204 9.3565 1.4733
Er 1.2029 -0.8506 4.4198
Er 1.2029 6.8047 2.9465
Er 3.6087 7.6553 7.3663
Er 3.6087 0.0000 8.8396
Er 8.4204 4.2529 1.4733
Er -1.2029 5.9541 7.3663
```

Calculated total energy = -4.578 eV per atom
M_tot = 0.000 μB per atom
E_form (uncorrected) = -0.80 eV/atom

=====

# 6
# ScTeCl2

A relaxed structure of ScTeCl2 (GGA-PBE, Alexandria via LeMat-Bulk).

Cell and atoms, written as extended XYZ:
```
4
Lattice="3.4667 0.0000 0.0000 0.0000 5.0043 -0.0492 0.0000 2.5783 7.7371" Properties=species:S:1:pos:R:3 pbc="T T T"
Cl 0.0000 4.7182 2.6659
Cl 1.7334 2.1994 0.9875
Sc 0.0000 2.2166 2.7288
Te 1.7334 2.2397 5.1496
```

Calculated total energy = -4.722 eV per atom
M_tot = 0.067 μB per atom
E_form (uncorrected) = -1.43 eV/atom

=====

# 7
# MgCu2Ir

A relaxed structure of MgCu2Ir (GGA-PBE, Alexandria via LeMat-Bulk).

Cell and atoms, written as extended XYZ:
```
4
Lattice="-2.5975 1.9804 -2.5234 -1.5301 -2.2465 -0.1880 -3.4426 0.3707 3.8346" Properties=species:S:1:pos:R:3 pbc="T T T"
Ir -2.3227 -0.8358 1.7350
Mg -5.1674 -0.5349 1.5237
Cu -0.2887 -0.4210 -0.0333
Cu -2.2778 0.9583 -0.2789
```

Calculated total energy = -4.686 eV per atom
E_form = -24 meV/atom
M_tot = 0.001 μB per atom

=====

# 8
# Na2Tl3Hg

A relaxed structure of Na2Tl3Hg (GGA-PBE, Alexandria via LeMat-Bulk).

Cell and atoms, written as extended XYZ:
```
24
Lattice="6.8843 0.0000 0.0000 0.0000 9.2861 -5.3613 0.0000 0.0000 10.7226" Properties=species:S:1:pos:R:3 pbc="T T T"
Tl 6.8803 1.5739 7.9965
Tl 3.4381 7.7121 2.6352
Tl 3.4462 1.5739 2.7261
Tl 3.4462 1.5739 7.9965
Tl 3.4381 3.1478 0.0000
Tl 3.4462 6.1382 5.3613
Tl 6.8803 1.5739 2.7261
Tl 0.0041 7.7121 -2.6352
Tl 6.8803 6.1382 5.3613
Tl 3.4381 7.7121 -2.6352
Tl 0.0041 7.7121 2.6352
Tl 0.0041 3.1478 0.0000
Na 1.7211 4.6290 8.0177
Na 1.7211 0.0280 5.3613
Na 1.7211 4.6290 2.7049
Na 5.1633 9.2580 0.0000
Na 5.1633 4.6570 -2.6564
Na 1.7211 0.0000 0.0000
Na 5.1633 0.0000 0.0000
Na 5.1633 4.6570 2.6564
Hg 6.8585 3.0953 5.3613
Hg 0.0259 6.1907 0.0000
Hg 3.4680 3.0953 5.3613
Hg 3.4163 6.1907 0.0000
```

Calculated total energy = -1.794 eV per atom
E_form = -121 meV/atom
M_tot = 0.000 μB per atom

=====

Please write out number 4 again, unchanged.
# VMoIr2C

A relaxed structure of VMoIr2C (GGA-PBE, Alexandria via LeMat-Bulk).

Cell and atoms, written as extended XYZ:
```
5
Lattice="-0.6746 3.2602 -2.2510 -1.3782 -2.4326 -3.1102 -3.7339 0.2401 1.4668" Properties=species:S:1:pos:R:3 pbc="T T T"
Ir -1.8669 0.1201 0.7334
Ir -0.3373 1.6301 -1.1255
V -2.8934 0.5338 -1.9472
Mo -0.6891 -1.2163 -1.5551
C 0.0000 0.0000 0.0000
```

Calculated total energy = -9.230 eV per atom
E_form = 149 meV/atom
M_tot = 0.000 μB per atom

=====

Question: Look up the M_tot of the third one.
Answer: 0.000 μB per atom

=====

Question: M_tot of number 7 (MgCu2Ir)?
Answer: 0.001 μB per atom